A relaxed structure of Cd2NiF. Source: Alexandria, functional PBE+U.

Cell: 6.7002 6.7002 5.6168 Å, 53.38 53.38 90.00°
Sites, in units of the cell vectors:
Ni: 0.0000 0.0000 0.0000
Ni: 0.7500 0.2500 0.5000
F: 0.5000 0.5000 0.0000
F: 0.2500 0.7500 0.5000
Cd: 0.6018 0.1250 0.2500
Cd: 0.1482 0.6250 0.2500
Cd: 0.3750 0.3982 0.7500
Cd: 0.8750 0.8518 0.7500

Values from the calculation:
Calculated density in g cm⁻³: 7.4
Volume in Å³/atom: 16.93
Final energy in eV/atom: -1.734